Crystalline DyZnNi at its relaxed geometry. Source: Alexandria, functional PBE.

Lattice parameters (Å, degrees): 4.4006 4.4006 4.4006 60.00 60.00 60.00
Fractional coordinates of all 3 atoms:
Ni 0.2500 0.2500 0.2500
Zn 0.0000 0.0000 0.0000
Dy 0.5000 0.5000 0.5000

Properties
Formation energy   -0.271 eV per atom
Raw total energy   -4.16 eV per atom
DOS(E_F)   0.5473 states/eV per atom